No. 1
The following is a DFT calculation (GGA-PBE) of crystalline LiTe3AsPb at its relaxed geometry.

For the magnetic moment, the calculation gives 0.00 Bohr magnetons per cell. The space-group type is No. 11.

abc: 4.274 8.809 9.648
angles: 102.61 90.00 90.00
Fractional positions:
As: 0.250 0.677 0.123
Te: 0.250 0.110 0.893
Te: 0.250 0.555 0.839
Te: 0.250 0.755 0.479
Li: 0.750 0.922 0.401
Te: 0.750 0.445 0.161
Te: 0.750 0.245 0.521
As: 0.750 0.323 0.877
Pb: 0.250 0.203 0.271
Pb: 0.750 0.797 0.729
Te: 0.750 0.890 0.107
Li: 0.250 0.078 0.599

***

No. 2
The following is a DFT calculation (GGA-PBE) of crystalline LiTm2AsPb at its relaxed geometry.

The value obtained for the formation enthalpy at 0 K is -0.742 eV per atom. For the magnetic moment, the calculation gives 0.00 Bohr magnetons per cell. The space-group type is No. 11.

abc: 4.097 7.632 8.221
angles: 107.19 90.00 90.00
Fractional positions:
Li: 0.750 0.457 0.361
As: 0.750 0.146 0.170
Tm: 0.250 0.246 0.979
Li: 0.250 0.543 0.639
Pb: 0.750 0.318 0.702
Tm: 0.750 0.878 0.608
Tm: 0.750 0.754 0.021
As: 0.250 0.854 0.830
Tm: 0.250 0.122 0.392
Pb: 0.250 0.682 0.298

***

No. 3
The following is a DFT calculation (GGA-PBE) of crystalline LiYAsPb2 at its relaxed geometry.

The value obtained for the formation enthalpy at 0 K is 0.052 eV per atom. For the magnetic moment, the calculation gives 0.00 Bohr magnetons per cell. The space-group type is No. 123.

abc: 5.679 5.376 5.679
angles: 90.00 90.00 90.00
Fractional positions:
As: 0.000 0.000 0.000
Li: 0.500 0.500 0.500
Pb: 0.500 0.000 0.000
Y: 0.000 0.500 0.000
Pb: 0.000 0.000 0.500

***

| no. | total DFT energy (no corrections) (Ry per atom) |
| --- | --- |
| 1 | -0.2650 |
| 2 | -0.3370 |
| 3 | -0.2967 |